No. 1
Below is crystalline Li4AlCd2Pb at its relaxed geometry, with properties calculated at the PBE level.

abc: 4.667 4.667 6.645
angles: 90.00 90.00 90.00
Space group P-4m2 (No. 115)
One atom of each set of equivalent atoms:
1 Li 0.000 0.000 0.000
2 Li 0.000 0.500 0.741
3 Li 0.500 0.500 0.500
4 Al 0.000 0.000 0.500
5 Cd 0.000 0.500 0.277
6 Pb 0.500 0.500 0.000

Calculated values
DFT total energy: -18.8 eV/f.u.



No. 2
Below is crystalline Na5Dy4Si4O16F at its relaxed geometry, with properties calculated at the PBE level.

abc: 11.529 11.529 5.387
angles: 90.00 90.00 90.00
Space group I-4 (No. 82)
One atom of each set of equivalent atoms:
1 Na 0.000 0.000 0.000
2 Na 0.089 0.396 0.507
3 Dy 0.116 0.818 0.523
4 Si 0.104 0.247 0.010
5 O 0.033 0.206 0.258
6 O 0.048 0.186 0.765
7 O 0.109 0.389 0.986
8 O 0.203 0.763 0.935
9 F 0.000 0.000 0.500

Calculated values
DFT total energy: -215.9 eV/f.u.



No. 3
Below is crystalline Sm3Mg4 at its relaxed geometry, with properties calculated at the PBE level.

abc: 9.1169 9.1169 5.4514
angles: 90.00 90.00 120.00
Space group P6_3/m (No. 176)
One atom of each set of equivalent atoms:
1 Sm 0.0717 0.2605 0.2500
2 Mg 0.1046 0.4936 0.7500
3 Mg 0.3333 0.6667 0.2500

Calculated values
DFT total energy: -20.4 eV/f.u.